[1]
VASP calculation (PBE-GGA) on crystalline Dy2ErFeNi8 at its relaxed geometry.

Lattice parameters (Å, degrees): 8.532 8.532 8.532 33.91 33.91 33.91
Site moments in Bohr magnetons follow the coordinates.
Element x y z (fractional)
Dy: 0.139 0.139 0.139  -0.17
Dy: 0.861 0.861 0.861  -0.17
Ni: 0.416 0.918 0.416  0.23
Ni: 0.584 0.082 0.584  0.23
Ni: 0.667 0.667 0.667  0.08
Ni: 0.082 0.584 0.584  0.21
Ni: 0.584 0.584 0.082  0.19
Ni: 0.918 0.416 0.416  0.21
Ni: 0.333 0.333 0.333  0.08
Ni: 0.416 0.416 0.918  0.19
Er: 0.000 0.000 0.000  -0.06
Fe: 0.500 0.500 0.500  2.28

Computed properties:
VASP energy = -5.906 eV/atom
V = 14.35 Å³ per atom
ΔH_f (0 K) = -0.3550 eV per atom



[2]
VASP calculation (PBE-GGA) on crystalline InFeCoMo at its relaxed geometry.

Lattice parameters (Å, degrees): 4.306 4.306 4.306 60.00 60.00 60.00
Site moments in Bohr magnetons follow the coordinates.
Element x y z (fractional)
In: 0.000 0.000 0.000  -0.04
Fe: 0.250 0.250 0.250  1.16
Co: 0.750 0.750 0.750  1.09
Mo: 0.500 0.500 0.500  -0.06

Computed properties:
VASP energy = -7.037 eV/atom
relative energy among the computed polymorphs = 0 meV/atom
V = 14.11 Å³ per atom



[3]
VASP calculation (PBE-GGA) on crystalline Y2HoIn3Pt2Au at its relaxed geometry.

Lattice parameters (Å, degrees): 3.801 7.789 7.789 119.90 90.00 90.00
Element x y z (fractional)
In: 0.500 0.731 0.000
In: 0.500 0.000 0.731
In: 0.500 0.269 0.269
Pt: 0.500 0.666 0.335
Pt: 0.500 0.335 0.666
Y: 0.000 0.407 0.000
Y: 0.000 0.000 0.407
Ho: 0.000 0.592 0.592
Au: 0.000 0.999 0.999

Computed properties:
VASP energy = -5.484 eV/atom
V = 22.21 Å³ per atom



[4]
VASP calculation (PBE-GGA) on crystalline SrNi2As4Pb at its relaxed geometry.

Lattice parameters (Å, degrees): 4.474 8.562 8.562 29.64 90.00 90.00
Element x y z (fractional)
Ni: 0.000 0.315 0.315
Ni: 0.500 0.686 0.686
Pb: 0.000 0.104 0.104
As: 0.000 0.457 0.457
As: 0.000 0.749 0.749
As: 0.500 0.541 0.541
As: 0.500 0.252 0.252
Sr: 0.500 0.896 0.896

Computed properties:
VASP energy = -4.767 eV/atom
V = 20.28 Å³ per atom



[5]
VASP calculation (PBE-GGA) on crystalline AgSbAsO at its relaxed geometry.

Lattice parameters (Å, degrees): 3.856 3.856 9.566 90.00 90.00 90.00
Element x y z (fractional)
As: 0.500 0.000 0.298
As: 0.000 0.500 0.702
Sb: 0.500 0.000 0.870
Sb: 0.000 0.500 0.130
Ag: 0.000 0.000 0.500
Ag: 0.500 0.500 0.500
O: 0.000 0.000 0.000
O: 0.500 0.500 0.000

Computed properties:
VASP energy = -4.437 eV/atom
relative energy among the computed polymorphs = 0 meV/atom
V = 17.78 Å³ per atom



[6]
VASP calculation (PBE-GGA) on crystalline NaFeAgOs at its relaxed geometry.

Lattice parameters (Å, degrees): 4.479 4.479 4.479 60.00 60.00 60.00
Element x y z (fractional)
Na: 0.750 0.750 0.750
Os: 0.250 0.250 0.250
Fe: 0.500 0.500 0.500
Ag: 0.000 0.000 0.000

Computed properties:
VASP energy = -5.068 eV/atom
relative energy among the computed polymorphs = 0 meV/atom
V = 15.88 Å³ per atom



[7]
VASP calculation (PBE-GGA) on crystalline BeInFeCu at its relaxed geometry.

Lattice parameters (Å, degrees): 4.187 4.187 4.187 60.00 60.00 60.00
Site moments in Bohr magnetons follow the coordinates.
Element x y z (fractional)
Cu: 0.000 0.000 0.000  0.01
Fe: 0.500 0.500 0.500  1.89
In: 0.250 0.250 0.250  -0.04
Be: 0.750 0.750 0.750  -0.05

Computed properties:
VASP energy = -4.333 eV/atom
relative energy among the computed polymorphs = 0 meV/atom
V = 12.98 Å³ per atom



[8]
VASP calculation (PBE-GGA) on crystalline CsRbDy2O4 at its relaxed geometry.

Lattice parameters (Å, degrees): 3.509 3.509 13.296 90.00 90.00 120.00
Element x y z (fractional)
O: 0.000 0.000 0.343
O: 0.333 0.667 0.829
O: 0.000 0.000 0.657
O: 0.333 0.667 0.171
Cs: 0.000 0.000 0.000
Dy: 0.667 0.333 0.743
Dy: 0.667 0.333 0.257
Rb: 0.333 0.667 0.500

Computed properties:
VASP energy = -6.517 eV/atom
V = 17.72 Å³ per atom



[9]
VASP calculation (PBE-GGA) on crystalline RbPuCl6 at its relaxed geometry.

Lattice parameters (Å, degrees): 7.572 7.572 7.572 55.22 55.22 55.22
Site moments in Bohr magnetons follow the coordinates.
Element x y z (fractional)
Pu: 0.000 0.000 0.000  3.70
Cl: 0.092 0.588 0.092  -0.10
Cl: 0.908 0.908 0.412  -0.11
Cl: 0.092 0.092 0.588  -0.11
Cl: 0.412 0.908 0.908  -0.09
Cl: 0.588 0.092 0.092  -0.09
Cl: 0.908 0.412 0.908  -0.10
Rb: 0.500 0.500 0.500  0.00

Computed properties:
VASP energy = -4.856 eV/atom
V = 34.11 Å³ per atom



[10]
VASP calculation (PBE-GGA) on crystalline LiCu4As2 at its relaxed geometry.

Lattice parameters (Å, degrees): 7.548 7.548 7.548 31.53 31.53 31.53
Element x y z (fractional)
Cu: 0.565 0.565 0.565
Cu: 0.858 0.858 0.858
Cu: 0.435 0.435 0.435
Cu: 0.142 0.142 0.142
As: 0.258 0.258 0.258
As: 0.742 0.742 0.742
Li: 0.000 0.000 0.000

Computed properties:
VASP energy = -3.879 eV/atom
V = 14.92 Å³ per atom



[11]
VASP calculation (PBE-GGA) on crystalline Cs2AgPbF6 at its relaxed geometry.

Lattice parameters (Å, degrees): 6.449 6.449 6.449 120.01 120.01 89.98
Element x y z (fractional)
Cs: 0.250 0.750 0.500
Cs: 0.750 0.250 0.500
F: 0.249 0.249 0.498
F: 0.751 0.751 0.502
F: 0.751 0.751 0.000
F: 0.249 0.249 0.000
F: 0.249 0.751 0.000
F: 0.751 0.249 0.000
Pb: 0.500 0.500 0.000
Ag: 0.000 0.000 0.000

Computed properties:
VASP energy = -4.144 eV/atom
relative energy among the computed polymorphs = 1 meV/atom
V = 18.96 Å³ per atom



[12]
VASP calculation (PBE-GGA) on crystalline Gd2TmAl3FeCu2 at its relaxed geometry.

Lattice parameters (Å, degrees): 3.992 7.035 7.035 120.21 90.00 90.00
Site moments in Bohr magnetons follow the coordinates.
Element x y z (fractional)
Cu: 0.500 0.662 0.335  0.02
Cu: 0.500 0.335 0.662  0.02
Tm: 0.000 0.413 0.413  0.06
Al: 0.500 0.766 0.766  0.00
Al: 0.500 0.235 0.002  0.00
Al: 0.500 0.002 0.235  0.00
Gd: 0.000 0.584 0.999  0.05
Gd: 0.000 0.999 0.584  0.06
Fe: 0.000 0.004 0.004  1.76

Computed properties:
VASP energy = -4.895 eV/atom
V = 18.97 Å³ per atom